1.
Below is crystalline NbFePd6 at its relaxed geometry, with properties calculated at the PBE-GGA level.

Cell lengths 5.2237, 5.2237, 5.2237 Å; angles 89.26, 89.26, 89.26 degrees
Closest atoms and distances in Å follow each position.
Sites, in units of the cell vectors:
1 Nb 0.0000 0.0000 0.0000  6 Pd 2.66
2 Fe 0.5000 0.5000 0.5000  6 Pd 2.45
3 Pd 0.1722 0.1722 0.5485  1 Fe 2.45, 3 Pd 2.62-2.72, 1 Nb 2.66
4 Pd 0.1722 0.5485 0.1722  1 Fe 2.45, 3 Pd 2.62-2.72, 1 Nb 2.66
5 Pd 0.4515 0.8278 0.8278  1 Fe 2.45, 3 Pd 2.62-2.72, 1 Nb 2.66
6 Pd 0.5485 0.1722 0.1722  1 Fe 2.45, 3 Pd 2.62-2.72, 1 Nb 2.66
7 Pd 0.8278 0.4515 0.8278  1 Fe 2.45, 3 Pd 2.62-2.72, 1 Nb 2.66
8 Pd 0.8278 0.8278 0.4515  1 Fe 2.45, 3 Pd 2.62-2.72, 1 Nb 2.66

Output
Energy: -47.23 eV per cell
D(E_F): 7.95 states/eV/f.u.
Energy relative to the elements: 0.308 eV per atom

2.
Below is crystalline La2NdAu8 at its relaxed geometry, with properties calculated at the PBE-GGA level.

Cell lengths 8.7412, 8.7412, 5.3102 Å; angles 107.05, 107.05, 125.45 degrees
Closest atoms and distances in Å follow each position.
Sites, in units of the cell vectors:
1 La 0.1865 0.8135 0.0000  12 Au 3.09-3.30
2 La 0.8135 0.1865 0.0000  12 Au 3.09-3.30
3 Nd 0.5000 0.5000 0.5000  6 Au 3.10-3.36
4 Au 0.0084 0.0084 0.7586  6 Au 2.65-2.95
5 Au 0.1461 0.4028 0.7589  4 Au 2.79-3.09
6 Au 0.3008 0.6992 0.5000  4 La 3.09-3.19, 6 Au 3.09-3.30, 1 Nd 3.10
7 Au 0.4028 0.1461 0.7589  4 Au 2.79-3.09
8 Au 0.5972 0.8539 0.2411  4 Au 2.79-3.09
9 Au 0.6992 0.3008 0.5000  4 La 3.09-3.19, 6 Au 3.09-3.30, 1 Nd 3.10
10 Au 0.8539 0.5972 0.2411  4 Au 2.79-3.09
11 Au 0.9916 0.9916 0.2414  6 Au 2.65-2.95

Output
Energy: -48.51 eV per cell
D(E_F): 4.37 states/eV/f.u.
Energy relative to the elements: -0.697 eV per atom

3.
Below is crystalline Mg2GaGeMo at its relaxed geometry, with properties calculated at the PBE-GGA level.

Cell lengths 5.1376, 5.1376, 4.8710 Å; angles 90.00, 90.00, 90.00 degrees
Closest atoms and distances in Å follow each position.
Sites, in units of the cell vectors:
1 Mg 0.0000 0.5000 0.0000  2 Mo 2.57
2 Mg 0.5000 0.0000 0.0000  2 Mo 2.57
3 Ga 0.0000 0.0000 0.5000  2 Mo 2.44
4 Ge 0.5000 0.5000 0.5000  8 Mg 3.54, 4 Ga 3.63
5 Mo 0.0000 0.0000 0.0000  2 Ga 2.44, 4 Mg 2.57

Output
Energy: -16.94 eV per cell
D(E_F): 3.74 states/eV/f.u.
Energy relative to the elements: 0.945 eV per atom